Record 1
Pr3SmDy | Alexandria | PBE | relaxed; space group = C2/m, No. 12; crystal system = monoclinic; DFT formation energy = 87 kJ/mol of formula units
1.0
8.8253 -3.4613 0.0000
8.8253 3.4613 0.0000
-2.0955 0.0000 5.7690
Pr Sm Dy
6 2 2
Direct
0.0806 0.6152 0.5984 Pr
0.2746 0.2746 0.0263 Pr
0.3848 0.9194 0.4016 Pr
0.6152 0.0806 0.5984 Pr
0.7254 0.7254 0.9737 Pr
0.9194 0.3848 0.4016 Pr
0.5000 0.5000 0.0000 Sm
0.5000 0.5000 0.5000 Sm
0.0510 0.0510 0.8000 Dy
0.9490 0.9490 0.2000 Dy

***

Record 2
LiSmGeIr | Alexandria | PBE | relaxed; space group = F-43m, No. 216; crystal system = cubic; DFT formation energy = -199 kJ/mol of formula units
1.0
0.0000 3.2941 3.2941
3.2941 0.0000 3.2941
3.2941 3.2941 0.0000
Li Sm Ge Ir
1 1 1 1
Direct
0.0000 0.0000 0.0000 Li
0.2500 0.2500 0.2500 Sm
0.7500 0.7500 0.7500 Ge
0.5000 0.5000 0.5000 Ir